DFT (PBE) results for a relaxed structure of Dy2YHo2Sc. Values from VASP.

Structure (Quantum ESPRESSO input):
```
&SYSTEM
  ibrav = 0, nat = 12, ntyp = 4
/
ATOMIC_SPECIES
Dy 162.50 Dy.upf
Y 88.91 Y.upf
Ho 164.93 Ho.upf
Sc 44.96 Sc.upf
CELL_PARAMETERS angstrom
6.498 0.000 0.000
0.000 17.264 0.000
0.000 0.000 3.317
ATOMIC_POSITIONS angstrom
Dy 1.615 3.110 0.000
Dy 1.635 11.742 1.659
Dy 4.864 5.522 1.659
Dy 4.884 14.154 0.000
Y 0.000 8.632 0.000
Y 3.249 0.000 1.659
Ho 1.606 6.094 1.659
Ho 1.643 14.726 0.000
Ho 4.855 2.539 0.000
Ho 4.892 11.171 1.659
Sc 0.000 0.000 0.000
Sc 3.249 8.632 1.659
```

Computed properties:
**Magnetization**: 0.00 μB per atom
**DOS at the Fermi energy**: 1.472 states/eV per atom
**E_form**: 0.280 eV/atom
**Space-group type**: Pnnm (58)